(1)
The following is a DFT calculation (PBE) of an optimized crystal structure of LiYMo2.

Cell and atoms, written as POSCAR:
```
LiYMo2
1.0
-1.9260 1.9260 4.9094
1.9260 -1.9260 4.9094
1.9260 1.9260 -4.9094
Li Y Mo
1 1 2
Direct
0.0000 0.0000 0.0000 Li
0.5000 0.5000 0.0000 Y
0.2500 0.7500 0.5000 Mo
0.7500 0.2500 0.5000 Mo
```

* total magnetization: 0.00 μB per cell
* polymorph energy (0 for the lowest one): 17.9 kJ/mol of atoms
* final energy: -7.06 eV per atom

***

(2)
The following is a DFT calculation (PBE) of an optimized crystal structure of CePm2ScSb4.

Cell and atoms, written as POSCAR:
```
CePm2ScSb4
1.0
7.6285 0.0000 0.0000
0.0000 4.4199 0.0000
-2.5470 0.0000 7.2203
Ce Pm Sc Sb
1 2 1 4
Direct
0.0000 0.0000 0.0000 Ce
0.0000 0.5000 0.5000 Pm
0.5000 0.0000 0.5000 Pm
0.5000 0.5000 0.0000 Sc
0.2560 0.5000 0.2415 Sb
0.2634 0.0000 0.7653 Sb
0.7366 0.0000 0.2347 Sb
0.7440 0.5000 0.7585 Sb
```

* formation energy without anion corrections: -1.07 eV/atom
* total magnetization: 0.63 μB per cell
* final energy: -5.85 eV per atom

***

(3)
The following is a DFT calculation (PBE) of an optimized crystal structure of CaMg6Si2.

Cell and atoms, written as POSCAR:
```
CaMg6Si2
1.0
4.3583 0.0000 0.0000
0.0000 4.3583 0.0000
0.0000 0.0000 10.4521
Ca Mg Si
1 6 2
Direct
0.0000 0.0000 0.0000 Ca
0.0000 0.0000 0.5000 Mg
0.0000 0.5000 0.2733 Mg
0.0000 0.5000 0.7267 Mg
0.5000 0.0000 0.2733 Mg
0.5000 0.0000 0.7267 Mg
0.5000 0.5000 0.5000 Mg
0.5000 0.5000 0.1134 Si
0.5000 0.5000 0.8866 Si
```

* formation energy without anion corrections: -0.15 eV/atom
* total magnetization: 0.00 μB per cell
* final energy: -2.64 eV per atom

***

(4)
The following is a DFT calculation (PBE) of an optimized crystal structure of NiH2SeS.

Cell and atoms, written as POSCAR:
```
NiH2SeS
1.0
3.4770 0.0000 0.0000
0.0000 3.4770 0.0000
0.0000 0.0000 4.9816
Ni H Se S
1 2 1 1
Direct
0.0000 0.0000 0.0000 Ni
0.0000 0.5000 0.0000 H
0.5000 0.0000 0.0000 H
0.0000 0.0000 0.5000 Se
0.5000 0.5000 0.5000 S
```

* total magnetization: 0.00 μB per cell
* final energy: -3.62 eV per atom

***

(5)
The following is a DFT calculation (PBE) of an optimized crystal structure of SrHo2Rh3.

Cell and atoms, written as POSCAR:
```
SrHo2Rh3
1.0
3.4224 0.0000 0.0000
0.0000 3.4224 0.0000
0.0000 0.0000 10.7903
Sr Ho Rh
1 2 3
Direct
0.0000 0.0000 0.0000 Sr
0.0000 0.0000 0.3392 Ho
0.0000 0.0000 0.6608 Ho
0.5000 0.5000 0.1972 Rh
0.5000 0.5000 0.5000 Rh
0.5000 0.5000 0.8028 Rh
```

* total magnetization: 0.00 μB per cell
* final energy: -6.15 eV per atom

***

(6)
The following is a DFT calculation (PBE) of an optimized crystal structure of FeCo.

Cell and atoms, written as POSCAR:
```
FeCo
1.0
2.4611 0.0000 0.0000
0.0000 8.0047 0.0000
-1.6239 0.0000 4.6315
Fe Co
4 4
Direct
0.0000 0.0000 0.0000 Fe
0.0000 0.0000 0.5000 Fe
0.5000 0.2522 0.2500 Fe
0.5000 0.7478 0.7500 Fe
0.0000 0.5000 0.0000 Co
0.0000 0.5000 0.5000 Co
0.5000 0.2501 0.7500 Co
0.5000 0.7499 0.2500 Co
```

* total magnetization: 17.29 μB per cell
* final energy: -7.78 eV per atom

***

(7)
The following is a DFT calculation (PBE) of an optimized crystal structure of TaCuRu3.

Cell and atoms, written as POSCAR:
```
TaCuRu3
1.0
4.7127 0.0000 0.0000
0.0000 4.7127 0.0000
0.0000 0.0000 4.7127
Ta Cu Ru
1 1 3
Direct
0.0000 0.0000 0.0000 Ta
0.5000 0.5000 0.5000 Cu
0.0000 0.0000 0.5000 Ru
0.0000 0.5000 0.0000 Ru
0.5000 0.0000 0.0000 Ru
```

* total magnetization: 3.18 μB per cell
* polymorph energy (0 for the lowest one): 34.7 kJ/mol of atoms
* final energy: -7.09 eV per atom